Entry from Alexandria: an optimized crystal structure of Ce4Bi2I5 (PBE).

Summary:
- Total moment: 4.69 Bohr magnetons per cell
- Total energy: -4.469 eV per atom
- Formation energy from raw total energies: -0.90 eV per atom

Cell lengths 4.2242, 8.7522, 13.5327 Å; angles 84.77, 98.98, 90.00 degrees
Last column: magnetic moment on the atom in μB.
Element x y z (fractional)
I (0.8578, 0.1939, 0.7156)  -0.02
I (0.5000, 0.0000, 0.0000)  -0.01
I (0.2304, 0.3138, 0.4608)  -0.02
I (0.1422, 0.8061, 0.2844)  -0.02
I (0.7696, 0.6862, 0.5392)  -0.02
Bi (0.9201, 0.6136, 0.8401)  -0.07
Bi (0.0799, 0.3864, 0.1599)  -0.07
Ce (0.9723, 0.2757, 0.9446)  1.02
Ce (0.3403, 0.4819, 0.6806)  1.04
Ce (0.6597, 0.5181, 0.3194)  1.04
Ce (0.0277, 0.7243, 0.0554)  1.02